Entry A
This record from Alexandria describes crystalline LaZrTa at its relaxed geometry. The functional is PBE.

Summary:
Theoretical density: 8.6 Mg/m³
Magnetization: 0.0 μB per formula unit

a b c (Å): 4.824 4.824 4.824
angles (deg): 60.00 60.00 60.00
Positions (direct):
1 La 0.000 0.000 0.000
2 Zr 0.750 0.750 0.750
3 Ta 0.250 0.250 0.250

=====

Entry B
This record from Alexandria describes crystalline LaZrTa at its relaxed geometry. The functional is PBE.

Summary:
Theoretical density: 8.4 Mg/m³
Magnetization: 0.0 μB per formula unit

a b c (Å): 4.864 4.864 4.864
angles (deg): 60.00 60.00 60.00
Positions (direct):
1 La 0.000 0.000 0.000
2 Zr 0.500 0.500 0.500
3 Ta 0.750 0.750 0.750

=====

Entry C
This record from Alexandria describes crystalline LaZrTa at its relaxed geometry. The functional is PBE.

Summary:
Theoretical density: 9.1 Mg/m³
Magnetization: 0.0 μB per formula unit

a b c (Å): 8.032 8.032 8.032
angles (deg): 157.62 157.62 31.85
Positions (direct):
1 La 0.000 0.000 0.000
2 Zr 0.703 0.703 0.000
3 Ta 0.338 0.338 0.000

=====

Energies relative to the most stable structure are entry A 1.112; entry B 0.451; entry C 0.000, reported in eV/atom.

=====

Entry A
This record from Alexandria describes crystalline La3ZrTa at its relaxed geometry. The functional is PBE.

Summary:
Theoretical density: 6.5 Mg/m³
Magnetization: 0.0 μB per formula unit

a b c (Å): 5.594 5.594 5.594
angles (deg): 90.00 90.00 90.00
Positions (direct):
1 La 0.000 0.000 0.500
2 La 0.000 0.500 0.000
3 La 0.500 0.000 0.000
4 Zr 0.500 0.500 0.500
5 Ta 0.000 0.000 0.000

=====

Entry B
This record from Alexandria describes crystalline La3ZrTa at its relaxed geometry. The functional is PBE.

Summary:
Theoretical density: 6.7 Mg/m³
Magnetization: 0.0 μB per formula unit

a b c (Å): 5.556 5.556 5.556
angles (deg): 90.00 90.00 90.00
Positions (direct):
1 La 0.000 0.000 0.500
2 La 0.000 0.500 0.000
3 La 0.500 0.000 0.000
4 Zr 0.000 0.000 0.000
5 Ta 0.500 0.500 0.500

=====

Energies relative to the most stable structure are entry A 0.000; entry B 0.427, reported in eV/atom.